This record from Alexandria describes crystalline SrWN3 at its relaxed geometry. The functional is PBE-GGA.

```
10
Lattice="5.688 0.003 0.001 0.399 4.312 0.004 -1.878 1.677 5.840" Properties=species:S:1:pos:R:3 pbc="T T T"
Sr 0.543 3.410 4.553
Sr 3.801 5.540 5.073
W 1.503 1.125 2.113
W 4.320 1.836 1.668
N 3.185 0.410 0.792
N 2.500 3.893 3.102
N -0.296 1.379 3.233
N 3.722 3.380 0.683
N 0.432 1.579 0.548
N 2.638 2.551 2.989
```

Uncorrected formation energy, eV/atom: -0.386
Space-group type: P-1 (2)

This record from Alexandria describes crystalline SrWN3 at its relaxed geometry. The functional is PBE-GGA.

```
10
Lattice="-2.055 3.465 -4.694 -1.866 -6.519 -0.563 -3.594 0.010 1.514" Properties=species:S:1:pos:R:3 pbc="T T T"
Sr -3.508 -2.202 0.008
Sr -5.267 -2.117 -4.100
W -6.289 -4.213 -1.547
W -2.578 -0.372 -2.840
N -2.406 -2.196 -2.501
N -3.331 -0.288 -4.512
N -4.185 0.139 -1.711
N -5.181 2.688 -2.559
N -1.797 1.014 -1.366
N -4.249 -4.263 -1.552
```

Uncorrected formation energy, eV/atom: -0.583
Space-group type: P1 (1)

This record from Alexandria describes crystalline Sr2WN4 at its relaxed geometry. The functional is PBE-GGA.

```
7
Lattice="-1.999 2.112 2.805 -3.511 -1.240 -1.568 -2.689 -4.756 4.575" Properties=species:S:1:pos:R:3 pbc="T T T"
Sr -2.736 -1.073 1.768
Sr -5.463 -2.811 4.044
W 0.000 0.000 0.000
N -2.709 -3.155 3.355
N -5.490 -0.729 2.457
N -1.756 -0.620 -0.784
N -0.999 1.056 1.403
```

Distance to the lowest polymorph of the same formula, meV/atom: 0
Uncorrected formation energy, eV/atom: -0.464
Space-group type: I4/mmm (139)

This record from Alexandria describes crystalline SrWN3 at its relaxed geometry. The functional is PBE-GGA.

```
10
Lattice="5.289 0.000 -0.002 0.425 4.669 0.001 -0.110 -1.212 5.641" Properties=species:S:1:pos:R:3 pbc="T T T"
Sr 5.452 2.852 3.980
Sr 2.332 0.915 5.308
W 2.482 -0.310 2.037
W 4.987 0.620 1.610
N 4.552 3.533 1.071
N 2.809 2.628 3.089
N 0.795 0.428 3.145
N 5.085 2.351 0.559
N 1.811 4.552 0.504
N 3.342 1.446 2.577
```

Uncorrected formation energy, eV/atom: -0.439
Space-group type: P-1 (2)

This record from Alexandria describes crystalline Sr2W2N5 at its relaxed geometry. The functional is PBE-GGA.

```
9
Lattice="-3.198 -0.885 -2.028 3.092 -5.357 1.190 -3.432 0.430 5.224" Properties=species:S:1:pos:R:3 pbc="T T T"
Sr -1.111 -4.496 3.713
Sr -2.427 -1.315 0.673
W -2.625 -1.322 4.716
W -0.912 -4.490 -0.331
N 0.912 -3.730 0.189
N -4.450 -2.081 4.197
N -1.703 -1.143 3.183
N -1.835 -4.669 1.202
N 0.000 0.000 0.000
```

Uncorrected formation energy, eV/atom: -0.751
Space-group type: C2/m (12)

This record from Alexandria describes crystalline SrWN2 at its relaxed geometry. The functional is PBE-GGA.

```
4
Lattice="2.042 0.000 6.697 -1.021 1.768 6.697 -1.021 -1.768 6.697" Properties=species:S:1:pos:R:3 pbc="T T T"
Sr 0.000 0.000 10.046
W 0.000 0.000 0.000
N 0.000 0.000 18.230
N 0.000 0.000 1.862
```

Distance to the lowest polymorph of the same formula, meV/atom: 859
Uncorrected formation energy, eV/atom: 0.331
Space-group type: R-3m (166)

This record from Alexandria describes crystalline SrW3N at its relaxed geometry. The functional is PBE-GGA.

```
5
Lattice="4.343 0.000 0.000 0.000 4.343 0.000 0.000 0.000 4.343" Properties=species:S:1:pos:R:3 pbc="T T T"
Sr 2.172 2.172 2.172
W 0.000 2.172 0.000
W 0.000 0.000 2.172
W 2.172 0.000 0.000
N 0.000 0.000 0.000
```

Distance to the lowest polymorph of the same formula, meV/atom: 0
Uncorrected formation energy, eV/atom: 0.800
Space-group type: Pm-3m (221)

This record from Alexandria describes crystalline SrWN3 at its relaxed geometry. The functional is PBE-GGA.

```
10
Lattice="-5.420 13.428 5.741 -4.901 3.551 2.514 3.687 -5.383 0.623" Properties=species:S:1:pos:R:3 pbc="T T T"
Sr -8.097 12.063 6.245
Sr 1.462 -0.466 2.633
W -9.423 15.020 7.459
W 2.789 -3.423 1.419
N -2.053 7.567 5.961
N -4.581 4.030 2.917
N -4.546 10.799 6.883
N -2.088 0.798 1.995
N -4.964 6.722 4.340
N -1.670 4.875 4.538
```

Uncorrected formation energy, eV/atom: -0.645
Space-group type: C2/m (12)

This record from Alexandria describes crystalline SrWN3 at its relaxed geometry. The functional is PBE-GGA.

```
20
Lattice="11.532 0.000 -0.068 4.788 5.403 -2.788 -4.788 5.403 2.788" Properties=species:S:1:pos:R:3 pbc="T T T"
Sr 6.255 4.166 1.343
Sr 5.277 6.641 -1.411
Sr 11.043 3.735 -1.445
Sr 0.489 7.072 1.377
W 2.594 4.607 0.042
W 3.172 10.011 -0.076
W 8.938 6.200 -0.110
W 8.359 0.796 0.008
N 4.327 4.684 -0.288
N 1.439 10.088 0.254
N 7.205 6.123 0.220
N 10.093 0.719 -0.322
N 2.064 3.041 -0.900
N 3.702 8.444 0.866
N 9.468 7.766 0.832
N 7.830 2.363 -0.934
N 2.407 4.789 1.979
N 10.103 4.789 0.708
N 9.125 6.018 -2.047
N 1.429 6.018 -0.776
```

Uncorrected formation energy, eV/atom: -0.509
Space-group type: C2/c (15)

This record from Alexandria describes crystalline SrWN3 at its relaxed geometry. The functional is PBE-GGA.

```
10
Lattice="-5.705 3.397 -0.397 -5.697 -3.991 -3.603 0.209 0.239 3.660" Properties=species:S:1:pos:R:3 pbc="T T T"
Sr -6.262 0.945 -0.157
Sr -6.156 -2.760 0.080
W -8.977 -1.131 -2.271
W -3.556 -0.709 1.880
N -1.747 -0.656 1.879
N -4.335 -2.999 -1.835
N -4.350 -0.852 -0.009
N -4.243 1.284 1.569
N -7.087 -1.031 -1.572
N -8.045 -0.986 -0.470
```

Uncorrected formation energy, eV/atom: -0.594
Space-group type: P1 (1)

This record from Alexandria describes crystalline SrW3N at its relaxed geometry. The functional is PBE-GGA.

```
5
Lattice="4.790 0.000 0.000 0.000 4.790 0.000 0.000 0.000 4.790" Properties=species:S:1:pos:R:3 pbc="T T T"
Sr 0.000 0.000 0.000
W 0.000 2.395 0.000
W 0.000 0.000 2.395
W 2.395 0.000 0.000
N 2.395 2.395 2.395
```

Distance to the lowest polymorph of the same formula, meV/atom: 4078
Uncorrected formation energy, eV/atom: 4.878
Space-group type: Pm-3m (221)

This record from Alexandria describes crystalline SrWN3 at its relaxed geometry. The functional is PBE-GGA.

```
10
Lattice="3.475 0.000 0.000 -3.475 6.796 -0.002 0.000 0.970 6.796" Properties=species:S:1:pos:R:3 pbc="T T T"
Sr -2.412 6.359 3.979
Sr 1.062 3.145 0.296
W -0.675 3.175 3.713
W -0.675 6.485 0.478
N -0.675 5.728 2.246
N 2.799 1.409 0.841
N -0.675 4.430 4.993
N -2.413 6.890 6.522
N -0.675 4.332 2.191
N 1.062 2.248 3.749
```

Uncorrected formation energy, eV/atom: -0.580
Space-group type: Pm (6)